The following is a DFT calculation (PBE-GGA) of a relaxed structure of PuInHg2.

## Properties
- M_tot: 5.637 μB per cell
- DOS(E_F): 14.25 states/eV/f.u.
- Raw total energy: -0.337 Ry/atom

Cell: 5.1986 5.1986 5.1986 Å, 60.00 60.00 60.00°
Last column: magnetic moment on the atom in μB.
Fractional positions:
In (0.7500, 0.7500, 0.7500)  -0.03
Hg (0.0000, 0.0000, 0.0000)  0.01
Hg (0.5000, 0.5000, 0.5000)  0.01
Pu (0.2500, 0.2500, 0.2500)  5.43